# TcSn3Rh PBE optimized geometry
# DFT formation energy (eV/atom): 0.696
# Calculated volume (Å³/cell): 131.0
data_TcSn3Rh
_chemical_formula_sum 'Tc1 Sn3 Rh1'
_space_group_name_H-M_alt 'P m -3 m'
_space_group_IT_number 221
_space_group_name_Hall '-P 4 2 3'
_cell_length_a 5.079
_cell_length_b 5.079
_cell_length_c 5.079
_cell_angle_alpha 90.00
_cell_angle_beta 90.00
_cell_angle_gamma 90.00
loop_
_atom_site_label
_atom_site_fract_x
_atom_site_fract_y
_atom_site_fract_z
Tc1 0.000 0.000 0.000
Sn1 0.000 0.000 0.500
Rh1 0.500 0.500 0.500